DFT (GGA-PBE) results for a relaxed structure of SrPPt2W.

Cell and atoms, written as POSCAR:
```
SrPPt2W
1.0
4.6980 0.0000 0.0000
0.0000 4.6980 0.0000
0.0000 0.0000 4.5561
Sr P Pt W
1 1 2 1
Direct
0.0000 0.0000 0.0000 Sr
0.5000 0.5000 0.5000 P
0.0000 0.5000 0.5000 Pt
0.5000 0.0000 0.5000 Pt
0.5000 0.5000 0.0000 W
```

ΔH_f (0 K), eV/atom: -0.039


DFT (GGA-PBE) results for a relaxed structure of Dy4InAg2Pt.

Cell and atoms, written as POSCAR:
```
Dy4InAg2Pt
1.0
2.5657 1.4813 8.3707
-2.5657 1.4813 8.3707
0.0000 -2.9626 8.3707
Dy In Ag Pt
4 1 2 1
Direct
0.1162 0.1162 0.1162 Dy
0.3685 0.3685 0.3685 Dy
0.6315 0.6315 0.6315 Dy
0.8838 0.8838 0.8838 Dy
0.5000 0.5000 0.5000 In
0.2403 0.2403 0.2403 Ag
0.7597 0.7597 0.7597 Ag
0.0000 0.0000 0.0000 Pt
```

ΔH_f (0 K), eV/atom: -0.612


DFT (GGA-PBE) results for a relaxed structure of MgNiMo.

Cell and atoms, written as POSCAR:
```
MgNiMo
1.0
3.6933 0.0000 0.0000
0.0000 3.6933 0.0000
0.0000 0.0000 7.0594
Mg Ni Mo
2 2 2
Direct
0.2500 0.2500 0.1464 Mg
0.7500 0.7500 0.8536 Mg
0.2500 0.2500 0.7646 Ni
0.7500 0.7500 0.2354 Ni
0.2500 0.7500 0.5000 Mo
0.7500 0.2500 0.5000 Mo
```

ΔH_f (0 K), eV/atom: 0.132


DFT (GGA-PBE) results for a relaxed structure of ErGa2Ni2.

Cell and atoms, written as POSCAR:
```
ErGa2Ni2
1.0
-2.0148 2.0148 9.9817
2.0148 -2.0148 9.9817
2.0148 2.0148 -9.9817
Er Ga Ni
2 4 4
Direct
0.1287 0.1287 0.0000 Er
0.8713 0.8713 0.0000 Er
0.0000 0.5000 0.5000 Ga
0.3150 0.3150 0.0000 Ga
0.5000 0.0000 0.5000 Ga
0.6850 0.6850 0.0000 Ga
0.2500 0.7500 0.5000 Ni
0.4328 0.4328 0.0000 Ni
0.5672 0.5672 0.0000 Ni
0.7500 0.2500 0.5000 Ni
```

ΔH_f (0 K), eV/atom: -0.575


DFT (GGA-PBE) results for a relaxed structure of Na5Ga4Au4.

Cell and atoms, written as POSCAR:
```
Na5Ga4Au4
1.0
-5.9916 5.9916 2.0377
5.9916 -5.9916 2.0377
5.9916 5.9916 -2.0377
Na Ga Au
5 4 4
Direct
0.0000 0.0000 0.0000 Na
0.2972 0.6368 0.9340 Na
0.3632 0.2972 0.6604 Na
0.6368 0.7028 0.3396 Na
0.7028 0.3632 0.0660 Na
0.1033 0.4232 0.5265 Ga
0.4232 0.8967 0.3199 Ga
0.5768 0.1033 0.6801 Ga
0.8967 0.5768 0.4735 Ga
0.0507 0.7425 0.7932 Au
0.2575 0.0507 0.3082 Au
0.7425 0.9493 0.6918 Au
0.9493 0.2575 0.2068 Au
```

ΔH_f (0 K), eV/atom: -0.259


DFT (GGA-PBE) results for a relaxed structure of SrSmGe3.

Cell and atoms, written as POSCAR:
```
SrSmGe3
1.0
2.2632 -13.6663 0.0000
2.2632 13.6663 0.0000
0.0000 0.0000 4.1176
Sr Sm Ge
2 2 6
Direct
0.0752 0.9248 0.7500 Sr
0.9248 0.0752 0.2500 Sr
0.2024 0.7976 0.2500 Sm
0.7976 0.2024 0.7500 Sm
0.3126 0.6874 0.2500 Ge
0.3735 0.6265 0.7500 Ge
0.4734 0.5266 0.7500 Ge
0.5266 0.4734 0.2500 Ge
0.6265 0.3735 0.2500 Ge
0.6874 0.3126 0.7500 Ge
```

ΔH_f (0 K), eV/atom: -0.619


DFT (GGA-PBE) results for a relaxed structure of KOsPt2.

Cell and atoms, written as POSCAR:
```
KOsPt2
1.0
0.0000 3.3084 3.3084
3.3084 0.0000 3.3084
3.3084 3.3084 0.0000
K Os Pt
1 1 2
Direct
0.0000 0.0000 0.0000 K
0.5000 0.5000 0.5000 Os
0.2500 0.2500 0.2500 Pt
0.7500 0.7500 0.7500 Pt
```

ΔH_f (0 K), eV/atom: 1.034


DFT (GGA-PBE) results for a relaxed structure of ZrBe3.

Cell and atoms, written as POSCAR:
```
ZrBe3
1.0
4.0815 -2.3472 0.0000
4.0815 2.3472 0.0000
-2.7242 0.0000 7.4047
Zr Be
3 9
Direct
0.0000 0.0000 0.0000 Zr
0.1414 0.1414 0.4228 Zr
0.8586 0.8586 0.5772 Zr
0.0780 0.5799 0.2366 Be
0.3328 0.3328 0.0026 Be
0.4201 0.9220 0.7634 Be
0.4208 0.4208 0.7643 Be
0.5000 0.5000 0.5000 Be
0.5792 0.5792 0.2357 Be
0.5799 0.0780 0.2366 Be
0.6672 0.6672 0.9974 Be
0.9220 0.4201 0.7634 Be
```

ΔH_f (0 K), eV/atom: -0.161


DFT (GGA-PBE) results for a relaxed structure of PuPaGeRh.

Cell and atoms, written as POSCAR:
```
PuPaGeRh
1.0
3.5928 0.0000 0.0000
0.0000 3.5928 0.0000
0.0000 0.0000 12.3120
Pu Pa Ge Rh
2 2 2 2
Direct
0.2500 0.7500 0.0000 Pu
0.7500 0.2500 0.0000 Pu
0.2500 0.2500 0.2872 Pa
0.7500 0.7500 0.7128 Pa
0.2500 0.2500 0.5546 Ge
0.7500 0.7500 0.4454 Ge
0.2500 0.2500 0.7917 Rh
0.7500 0.7500 0.2083 Rh
```

ΔH_f (0 K), eV/atom: -0.104


DFT (GGA-PBE) results for a relaxed structure of AcCd6Pt4.

Cell and atoms, written as POSCAR:
```
AcCd6Pt4
1.0
7.8798 0.0000 0.0000
-3.9399 6.8241 0.0000
0.0000 0.0000 4.3886
Ac Cd Pt
1 6 4
Direct
0.0000 0.0000 0.0000 Ac
0.2017 0.4034 0.5000 Cd
0.2017 0.7983 0.5000 Cd
0.5351 0.0703 0.0000 Cd
0.5351 0.4649 0.0000 Cd
0.5966 0.7983 0.5000 Cd
0.9297 0.4649 0.0000 Cd
0.3333 0.6667 0.0000 Pt
0.4040 0.2020 0.5000 Pt
0.7980 0.2020 0.5000 Pt
0.7980 0.5960 0.5000 Pt
```

ΔH_f (0 K), eV/atom: -0.438


DFT (GGA-PBE) results for a relaxed structure of Ca2Ge4Rh3.

Cell and atoms, written as POSCAR:
```
Ca2Ge4Rh3
1.0
0.0000 4.9029 6.1791
2.8230 0.0000 6.1791
2.8230 4.9029 0.0000
Ca Ge Rh
2 4 3
Direct
0.1310 0.1310 0.8690 Ca
0.8690 0.8690 0.1310 Ca
0.1697 0.5199 0.4801 Ge
0.4801 0.8303 0.1697 Ge
0.5199 0.1697 0.8303 Ge
0.8303 0.4801 0.5199 Ge
0.0000 0.0000 0.5000 Rh
0.5000 0.5000 0.0000 Rh
0.5000 0.5000 0.5000 Rh
```

ΔH_f (0 K), eV/atom: -0.597


DFT (GGA-PBE) results for a relaxed structure of MgInPbO4.

Cell and atoms, written as POSCAR:
```
MgInPbO4
1.0
-3.2896 3.3038 4.6647
3.2896 -3.3038 4.6647
3.2896 3.3038 -4.6647
Mg In Pb O
2 2 2 8
Direct
0.3709 0.1209 0.2500 Mg
0.6291 0.8791 0.7500 Mg
0.0000 0.0000 0.5000 In
0.0000 0.5000 0.0000 In
0.0000 0.5000 0.5000 Pb
0.5000 0.5000 0.0000 Pb
0.2307 0.2467 0.9840 O
0.2373 0.7533 0.4840 O
0.2377 0.2344 0.4967 O
0.2377 0.7410 0.0033 O
0.7623 0.2590 0.9967 O
0.7623 0.7656 0.5033 O
0.7627 0.2467 0.5160 O
0.7693 0.7533 0.0160 O
```


Computed VASP energy, in the same sequence as the records: -6.464 -4.724 -5.937 -5.011 -2.706 -4.670 -5.068 -5.093 -9.053 -3.507 -5.544 -5.525 eV per atom.